Here is crystalline Ba2NaGeB at its relaxed geometry from Alexandria via LeMat-Bulk. Energies are from GGA-PBE.

Cell and atoms, written as CIF:
```
data_Ba2NaGeB
_symmetry_space_group_name_H-M 'P 4/m m m'
_symmetry_Int_Tables_number 123
_symmetry_space_group_name_Hall '-P 4 2'
_cell_length_a 6.313
_cell_length_b 6.313
_cell_length_c 5.401
_cell_angle_alpha 90.00
_cell_angle_beta 90.00
_cell_angle_gamma 90.00
loop_
_atom_site_label
_atom_site_fract_x
_atom_site_fract_y
_atom_site_fract_z
Ba1 0.000 0.500 0.000
Na1 0.000 0.000 0.500
Ge1 0.000 0.000 0.000
B1 0.500 0.500 0.500
```

**Energy relative to the elements**: 0.76 eV per atom

Here is crystalline ZrAl2O at its relaxed geometry from Alexandria via LeMat-Bulk. Energies are from GGA-PBE.

Cell and atoms, written as CIF:
```
data_ZrAl2O
_symmetry_space_group_name_H-M 'I -4 2 d'
_symmetry_Int_Tables_number 122
_symmetry_space_group_name_Hall 'I -4 2bw'
_cell_length_a 5.896
_cell_length_b 5.896
_cell_length_c 7.927
_cell_angle_alpha 90.00
_cell_angle_beta 90.00
_cell_angle_gamma 90.00
loop_
_atom_site_label
_atom_site_fract_x
_atom_site_fract_y
_atom_site_fract_z
Zr1 0.000 0.000 0.000
Al1 0.110 0.250 0.625
O1 0.000 0.000 0.500
```

**Formation energy without anion corrections**: -0.77 eV/atom

Here is crystalline HgPd7Au12 at its relaxed geometry from Alexandria via LeMat-Bulk. Energies are from GGA-PBE.

Cell and atoms, written as CIF:
```
data_HgPd7Au12
_symmetry_space_group_name_H-M 'R -3'
_symmetry_Int_Tables_number 148
_symmetry_space_group_name_Hall '-R 3'
_cell_length_a 12.1534
_cell_length_b 12.1534
_cell_length_c 8.3737
_cell_angle_alpha 90.00
_cell_angle_beta 90.00
_cell_angle_gamma 120.00
loop_
_atom_site_label
_atom_site_fract_x
_atom_site_fract_y
_atom_site_fract_z
Hg1 0.0000 0.0000 0.0000
Pd1 0.0000 0.0000 0.5000
Pd2 0.0617 0.8177 0.9178
Au1 0.0530 0.8374 0.2487
Au2 0.0545 0.8115 0.5832
```

**Energy relative to the elements**: 0.00 eV per atom

Here is crystalline Zr3ScCd4 at its relaxed geometry from Alexandria via LeMat-Bulk. Energies are from GGA-PBE.

Cell and atoms, written as CIF:
```
data_Zr3ScCd4
_symmetry_space_group_name_H-M 'P m m m'
_symmetry_Int_Tables_number 47
_symmetry_space_group_name_Hall '-P 2 2'
_cell_length_a 3.585
_cell_length_b 4.939
_cell_length_c 9.895
_cell_angle_alpha 90.00
_cell_angle_beta 90.00
_cell_angle_gamma 90.00
loop_
_atom_site_label
_atom_site_fract_x
_atom_site_fract_y
_atom_site_fract_z
Zr1 0.000 0.000 0.000
Zr2 0.000 0.500 0.247
Sc1 0.000 0.000 0.500
Cd1 0.500 0.000 0.254
Cd2 0.500 0.500 0.000
Cd3 0.500 0.500 0.500
```

**Energy relative to the elements**: -0.12 eV per atom

Here is crystalline Ag2AuCl at its relaxed geometry from Alexandria via LeMat-Bulk. Energies are from GGA-PBE.

Cell and atoms, written as CIF:
```
data_Ag2AuCl
_symmetry_space_group_name_H-M 'F m -3 m'
_symmetry_Int_Tables_number 225
_symmetry_space_group_name_Hall '-F 4 2 3'
_cell_length_a 6.793
_cell_length_b 6.793
_cell_length_c 6.793
_cell_angle_alpha 90.00
_cell_angle_beta 90.00
_cell_angle_gamma 90.00
loop_
_atom_site_label
_atom_site_fract_x
_atom_site_fract_y
_atom_site_fract_z
Ag1 0.250 0.250 0.250
Au1 0.000 0.000 0.000
Cl1 0.000 0.000 0.500
```

**Energy above the lowest structure with this stoichiometry**: 90 kJ/mol of formula units
**Formation energy without anion corrections**: 0.10 eV/atom

Here is crystalline Pu2Co2Ge3 at its relaxed geometry from Alexandria via LeMat-Bulk. Energies are from GGA-PBE.

Cell and atoms, written as CIF:
```
data_Pu2Co2Ge3
_symmetry_space_group_name_H-M 'C m c m'
_symmetry_Int_Tables_number 63
_symmetry_space_group_name_Hall '-C 2c 2'
_cell_length_a 4.160
_cell_length_b 17.793
_cell_length_c 6.712
_cell_angle_alpha 90.00
_cell_angle_beta 90.00
_cell_angle_gamma 90.00
loop_
_atom_site_label
_atom_site_fract_x
_atom_site_fract_y
_atom_site_fract_z
Pu1 0.000 0.049 0.250
Pu2 0.000 0.163 0.750
Co1 0.000 0.301 0.553
Ge1 0.000 0.217 0.250
Ge2 0.000 0.432 0.060
```

**Energy relative to the elements**: -0.38 eV per atom

Here is crystalline LuNi6 at its relaxed geometry from Alexandria via LeMat-Bulk. Energies are from GGA-PBE.

Cell and atoms, written as CIF:
```
data_LuNi6
_symmetry_space_group_name_H-M 'I m -3 m'
_symmetry_Int_Tables_number 229
_symmetry_space_group_name_Hall '-I 4 2 3'
_cell_length_a 6.159
_cell_length_b 6.159
_cell_length_c 6.159
_cell_angle_alpha 90.00
_cell_angle_beta 90.00
_cell_angle_gamma 90.00
loop_
_atom_site_label
_atom_site_fract_x
_atom_site_fract_y
_atom_site_fract_z
Lu1 0.000 0.000 0.000
Ni1 0.000 0.250 0.500
```

**Energy relative to the elements**: 0.50 eV per atom

Here is crystalline NaMg2Si at its relaxed geometry from Alexandria via LeMat-Bulk. Energies are from GGA-PBE.

Cell and atoms, written as CIF:
```
data_NaMg2Si
_symmetry_space_group_name_H-M 'R 3 m'
_symmetry_Int_Tables_number 160
_symmetry_space_group_name_Hall 'R 3 -2"'
_cell_length_a 4.5180
_cell_length_b 4.5180
_cell_length_c 16.5749
_cell_angle_alpha 90.00
_cell_angle_beta 90.00
_cell_angle_gamma 120.00
loop_
_atom_site_label
_atom_site_fract_x
_atom_site_fract_y
_atom_site_fract_z
Na1 0.0000 0.0000 0.0000
Mg1 0.0000 0.0000 0.2129
Mg2 0.0000 0.0000 0.4400
Si1 0.0000 0.0000 0.8147
```

**Formation energy without anion corrections**: 0.04 eV/atom

Here is crystalline Sr3Tb2TmTe6 at its relaxed geometry from Alexandria via LeMat-Bulk. Energies are from GGA-PBE.

Cell and atoms, written as CIF:
```
data_Sr3Tb2TmTe6
_symmetry_space_group_name_H-M 'C 1 2/m 1'
_symmetry_Int_Tables_number 12
_symmetry_space_group_name_Hall '-C 2y'
_cell_length_a 7.773
_cell_length_b 13.443
_cell_length_c 7.961
_cell_angle_alpha 90.00
_cell_angle_beta 109.00
_cell_angle_gamma 90.00
loop_
_atom_site_label
_atom_site_fract_x
_atom_site_fract_y
_atom_site_fract_z
Sr1 0.000 0.000 0.000
Sr2 0.000 0.332 0.000
Tb1 0.000 0.166 0.500
Tm1 0.000 0.500 0.500
Te1 0.241 0.335 0.730
Te2 0.248 0.000 0.731
```

**Formation energy without anion corrections**: -1.48 eV/atom